No. 1
19
Lattice="-5.275 2.080 -2.663 0.768 -2.833 -5.534 -3.514 -5.039 1.225" Properties=species:S:1:pos:R:3 comment="Ce2Ni17, relaxed, DFT PBE-GGA" total_energy_ry_per_atom=-0.441 magmom_total_mub_per_cell=5.354 space_group="No. 166" delta_e_f_ev_per_atom=-0.197 pbc="T T T"
Ce -2.707 -1.955 -2.353
Ni -0.798 -0.576 -0.693
Ni -3.494 0.633 -3.509
Ni -5.628 -2.371 -1.792
Ni -2.607 -4.826 -3.227
Ni -3.487 -1.268 -5.170
Ni -4.756 -0.017 -1.517
Ni -2.393 -3.421 -5.179
Ni -7.222 -5.215 -6.278
Ni -0.493 -3.482 -3.542
Ce -5.313 -3.837 -4.618
Ni -1.012 -1.385 -4.688
Ni -4.033 -2.941 0.080
Ni -4.533 -4.523 -1.801
Ni -5.413 -0.965 -3.744
Ni -2.252 -4.389 -0.766
Ni 0.384 -1.416 -2.767
Ni -1.757 -2.519 0.613
Ni -2.637 1.040 -1.331



No. 2
11
Lattice="-3.482 -0.742 -4.528 5.404 4.091 -3.052 1.808 -7.045 1.537" Properties=species:S:1:pos:R:3 comment="Ce8Ru2Rh, relaxed, DFT PBE-GGA" polymorph_energy_mev_per_atom=29 total_energy_ry_per_atom=-0.507 magmom_total_mub_per_cell=2.896 space_group="No. 12" delta_e_f_ev_per_atom=-0.229 pbc="T T T"
Ce 2.138 -1.251 -1.360
Ru 2.628 0.434 -3.972
Ce 1.637 -2.463 -4.692
Ce -0.895 -2.294 -2.479
Ce 4.671 -1.420 -3.573
Ce 1.147 0.873 -6.567
Rh 0.022 -0.009 -0.005
Ce 3.880 -3.870 -2.563
Ce -0.104 0.157 -3.488
Ru 1.148 -4.149 -2.083
Ce -0.855 -5.327 -4.012